[1]
A relaxed structure of BeSeN2F. Source: Alexandria via LeMat-Bulk, functional PBE.

Formation energy without anion corrections, meV per atom: 1251

Unit cell a=3.8558 b=3.8558 c=3.9592 alpha=90.00 beta=90.00 gamma=90.00
Last column: nearest neighbours and their distance in Å.
Positions (direct):
Be (0.5000, 0.5000, 0.5000)  4 F 2.73, 8 N 2.76
N (0.0000, 0.5000, 0.0000)  2 Se 1.93
N (0.5000, 0.0000, 0.0000)  2 Se 1.93
Se (0.0000, 0.0000, 0.0000)  4 N 1.93, 2 F 1.98
F (0.0000, 0.0000, 0.5000)  2 Se 1.98


[2]
A relaxed structure of InRe2Hg. Source: Alexandria via LeMat-Bulk, functional PBE.

ΔH_f (0 K), eV per formula unit: 5.644

Unit cell a=7.6441 b=7.6441 c=6.0410 alpha=50.75 beta=50.75 gamma=90.00
Last column: nearest neighbours and their distance in Å.
Positions (direct):
Re (0.6252, 0.1250, 0.2500)  2 Re 2.70, 2 Hg 2.78, 2 In 2.79
Re (0.1248, 0.6250, 0.2500)  2 Re 2.70, 2 Hg 2.78, 2 In 2.79
Re (0.3750, 0.3748, 0.7500)  2 Re 2.70, 2 Hg 2.78, 2 In 2.79
Re (0.8750, 0.8752, 0.7500)  2 Re 2.70, 2 Hg 2.78, 2 In 2.79
Hg (0.0000, 0.0000, 0.0000)  2 In 2.70, 4 Re 2.78
Hg (0.7500, 0.2500, 0.5000)  2 In 2.70, 4 Re 2.78
In (0.5000, 0.5000, 0.0000)  2 Hg 2.70, 4 Re 2.79
In (0.2500, 0.7500, 0.5000)  2 Hg 2.70, 4 Re 2.79


[3]
A relaxed structure of SrRh6. Source: Alexandria via LeMat-Bulk, functional PBE.

ΔH_f (0 K), eV per formula unit: 2.710

Unit cell a=5.8959 b=5.8959 c=5.8959 alpha=109.47 beta=109.47 gamma=109.47
Last column: nearest neighbours and their distance in Å.
Positions (direct):
Sr (0.0000, 0.0000, 0.0000)  24 Rh 3.81
Rh (0.2500, 0.7500, 0.5000)  4 Rh 2.41
Rh (0.5000, 0.7500, 0.2500)  4 Rh 2.41
Rh (0.2500, 0.5000, 0.7500)  4 Rh 2.41
Rh (0.7500, 0.2500, 0.5000)  4 Rh 2.41
Rh (0.5000, 0.2500, 0.7500)  4 Rh 2.41
Rh (0.7500, 0.5000, 0.2500)  4 Rh 2.41


[4]
A relaxed structure of Ce2Tm3Pb4. Source: Alexandria via LeMat-Bulk, functional PBE.

ΔH_f (0 K), eV per formula unit: -3.228

Unit cell a=7.1221 b=8.9834 c=9.3321 alpha=90.00 beta=112.43 gamma=90.00
Last column: nearest neighbours and their distance in Å.
Positions (direct):
Ce (0.1111, 0.5858, 0.2222)  6 Pb 3.39-3.76
Ce (0.8889, 0.4142, 0.7778)  6 Pb 3.39-3.76
Ce (0.3889, 0.0858, 0.7778)  6 Pb 3.39-3.76
Ce (0.6111, 0.9142, 0.2222)  6 Pb 3.39-3.76
Tm (0.0000, 0.0000, 0.0000)  6 Pb 2.92-3.23
Tm (0.5000, 0.5000, 0.0000)  6 Pb 2.92-3.23
Tm (0.5418, 0.7500, 0.5837)  5 Pb 3.03-3.29
Tm (0.9582, 0.2500, 0.4163)  5 Pb 3.03-3.29
Tm (0.4582, 0.2500, 0.4163)  5 Pb 3.03-3.29
Tm (0.0418, 0.7500, 0.5837)  5 Pb 3.03-3.29
Pb (0.7176, 0.7500, 0.9353)  3 Tm 2.92-3.03
Pb (0.7824, 0.2500, 0.0647)  3 Tm 2.92-3.03
Pb (0.2824, 0.2500, 0.0647)  3 Tm 2.92-3.03
Pb (0.2176, 0.7500, 0.9353)  3 Tm 2.92-3.03
Pb (0.1852, 0.9452, 0.3704)  5 Tm 3.10-3.29, 1 Ce 3.47
Pb (0.8148, 0.0548, 0.6296)  5 Tm 3.10-3.29, 1 Ce 3.47
Pb (0.3148, 0.4452, 0.6296)  5 Tm 3.10-3.29, 1 Ce 3.47
Pb (0.6852, 0.5548, 0.3704)  5 Tm 3.10-3.29, 1 Ce 3.47


[5]
A relaxed structure of Nd3Y13. Source: Alexandria via LeMat-Bulk, functional PBE.

ΔH_f (0 K), eV per formula unit: 0.293

Unit cell a=7.1858 b=7.1858 c=10.1363 alpha=90.00 beta=90.00 gamma=90.10
Last column: nearest neighbours and their distance in Å.
Positions (direct):
Nd (0.0003, 0.9997, 0.2498)  11 Y 3.59-3.60, 1 Nd 3.60
Nd (0.7490, 0.2510, 0.0000)  10 Y 3.58-3.61, 2 Nd 3.60
Nd (0.0003, 0.9997, 0.7502)  11 Y 3.59-3.60, 1 Nd 3.60
Y (0.4996, 0.9997, 0.2507)  9 Y 3.58-3.60, 3 Nd 3.59-3.60
Y (0.4994, 0.5006, 0.2514)  11 Y 3.57-3.60, 1 Nd 3.60
Y (0.0003, 0.5004, 0.2507)  9 Y 3.58-3.60, 3 Nd 3.59-3.60
Y (0.7487, 0.7490, 0.0000)  8 Y 3.58-3.61, 4 Nd 3.58-3.61
Y (0.2510, 0.2513, 0.0000)  8 Y 3.58-3.61, 4 Nd 3.58-3.61
Y (0.2511, 0.7489, 0.0000)  10 Y 3.58-3.61, 2 Nd 3.59
Y (0.4996, 0.9997, 0.7493)  9 Y 3.58-3.60, 3 Nd 3.59-3.60
Y (0.4994, 0.5006, 0.7486)  11 Y 3.57-3.60, 1 Nd 3.60
Y (0.0003, 0.5004, 0.7493)  9 Y 3.58-3.60, 3 Nd 3.59-3.60
Y (0.7494, 0.2506, 0.5000)  10 Y 3.58-3.60, 2 Nd 3.60
Y (0.7497, 0.7491, 0.5000)  10 Y 3.57-3.60, 2 Nd 3.59
Y (0.2509, 0.2503, 0.5000)  10 Y 3.57-3.60, 2 Nd 3.59
Y (0.2510, 0.7490, 0.5000)  10 Y 3.57-3.60, 2 Nd 3.60


[6]
A relaxed structure of AcTbGdSc. Source: Alexandria via LeMat-Bulk, functional PBE.

ΔH_f (0 K), eV per formula unit: 0.479

Unit cell a=5.7237 b=5.7237 c=5.7237 alpha=60.00 beta=60.00 gamma=60.00
Last column: nearest neighbours and their distance in Å.
Positions (direct):
Sc (0.0000, 0.0000, 0.0000)  4 Ac 3.51, 4 Gd 3.51
Ac (0.7500, 0.7500, 0.7500)  4 Tb 3.51, 4 Sc 3.51
Gd (0.2500, 0.2500, 0.2500)  4 Tb 3.51, 4 Sc 3.51
Tb (0.5000, 0.5000, 0.5000)  4 Ac 3.51, 4 Gd 3.51


[7]
A relaxed structure of CdSbF. Source: Alexandria via LeMat-Bulk, functional PBE.

Formation energy without anion corrections, meV per atom: -981

Unit cell a=3.1939 b=8.3564 c=5.8982 alpha=90.06 beta=90.00 gamma=90.00
Last column: nearest neighbours and their distance in Å.
Positions (direct):
Cd (0.9556, 0.3232, 0.8997)  4 F 2.43
Cd (0.9555, 0.5828, 0.4001)  4 F 2.43
Sb (0.9559, 0.9913, 0.9006)  1 Cd 2.77, 2 Sb 3.02
Sb (0.9559, 0.9147, 0.4007)  1 Cd 2.77, 2 Sb 3.02
F (0.4556, 0.4532, 0.1495)  4 Cd 2.43
F (0.4557, 0.4526, 0.6495)  4 Cd 2.43


[8]
A relaxed structure of NbVCrW. Source: Alexandria via LeMat-Bulk, functional PBE.

ΔH_f (0 K), eV per formula unit: -0.056

Unit cell a=4.3740 b=4.3740 c=4.3740 alpha=60.00 beta=60.00 gamma=60.00
Last column: nearest neighbours and their distance in Å.
Positions (direct):
Cr (0.2500, 0.2500, 0.2500)  4 Nb 2.68, 4 W 2.68
Nb (0.5000, 0.5000, 0.5000)  4 Cr 2.68, 4 V 2.68
W (0.0000, 0.0000, 0.0000)  4 Cr 2.68, 4 V 2.68
V (0.7500, 0.7500, 0.7500)  4 Nb 2.68, 4 W 2.68